An optimized crystal structure of ZrAgSe. Source: Alexandria, functional PBE.

The space group is P3m1 (No. 156) and the conventional cell measures 3.5655, 3.5655 and 6.2501 Å, with angles of 90.00, 90.00 and 120.00 degrees. Symmetry generates all atoms from Zr at (0.0000, 0.0000, 0.0000), Ag at (0.6667, 0.3333, 0.3437) and Se at (0.3333, 0.6667, 0.7260).

Its raw total energy is -5.380 eV/atom. The formation energy without anion corrections is -418.7 meV per atom. The polymorph energy (0 for the lowest one) is 91 meV/atom. The density of states at the Fermi level comes out at 3.4 states/eV/f.u.